Here is crystalline Ce2Mn3Ge4 at its relaxed geometry from Alexandria via LeMat-Bulk. Energies are from GGA-PBE.

Lattice parameters (Å, degrees): 7.9780 7.9780 7.5481 90.00 90.00 137.87
Last column: nearest neighbours and their distance in Å.
Fractional coordinates of all 18 atoms:
Ce1 0.1121 0.8879 0.9095  8 Ge 3.04-3.16, 6 Mn 3.12-3.39
Ce2 0.3879 0.6121 0.4095  8 Ge 3.04-3.16, 6 Mn 3.12-3.39
Ce3 0.6121 0.3879 0.5905  8 Ge 3.04-3.16, 6 Mn 3.12-3.39
Ce4 0.8879 0.1121 0.0905  8 Ge 3.04-3.16, 6 Mn 3.12-3.39
Mn1 0.0000 0.0000 0.5000  6 Ge 2.50-2.77
Mn2 0.0298 0.4702 0.7500  5 Ge 2.49-2.63
Mn3 0.4702 0.0298 0.2500  5 Ge 2.49-2.63
Mn4 0.5000 0.5000 0.0000  6 Ge 2.50-2.77
Mn5 0.5298 0.9702 0.7500  5 Ge 2.49-2.63
Mn6 0.9702 0.5298 0.2500  5 Ge 2.49-2.63
Ge1 0.1853 0.8147 0.5336  5 Mn 2.59-2.77
Ge2 0.1974 0.3026 0.7500  3 Mn 2.49-2.50
Ge3 0.3026 0.1974 0.2500  3 Mn 2.49-2.50
Ge4 0.3147 0.6853 0.0336  5 Mn 2.59-2.77
Ge5 0.6853 0.3147 0.9664  5 Mn 2.59-2.77
Ge6 0.6974 0.8026 0.7500  3 Mn 2.49-2.50
Ge7 0.8026 0.6974 0.2500  3 Mn 2.49-2.50
Ge8 0.8147 0.1853 0.4664  5 Mn 2.59-2.77

Computed properties:
Magnetization = 14.156 μB per cell
Fermi-level density of states = 23.365 states/eV/cell
Formation energy = -0.401 eV/atom

Here is crystalline Ce4MnGe2 at its relaxed geometry from Alexandria via LeMat-Bulk. Energies are from GGA-PBE.

Lattice parameters (Å, degrees): 8.3016 8.3016 8.3016 35.55 35.55 35.55
Last column: nearest neighbours and their distance in Å.
Fractional coordinates of all 7 atoms:
Ce1 0.1191 0.1191 0.1191  3 Mn 3.13, 3 Ce 3.20, 3 Ge 3.21
Ce2 0.2697 0.2697 0.2697  4 Ge 2.93-2.94, 3 Ce 3.20
Ce3 0.7303 0.7303 0.7303  4 Ge 2.93-2.94, 3 Ce 3.20
Ce4 0.8809 0.8809 0.8809  3 Mn 3.13, 3 Ce 3.20, 3 Ge 3.21
Mn1 0.5000 0.5000 0.5000  2 Ge 2.43
Ge1 0.3958 0.3958 0.3958  1 Mn 2.43
Ge2 0.6042 0.6042 0.6042  1 Mn 2.43

Computed properties:
Magnetization = 1.783 μB per cell
Fermi-level density of states = 18.235 states/eV/cell
Formation energy = -0.239 eV/atom

Here is crystalline Ce2Mn12Ge7 at its relaxed geometry from Alexandria via LeMat-Bulk. Energies are from GGA-PBE.

Lattice parameters (Å, degrees): 9.9950 9.9950 3.6479 90.00 90.00 120.00
Last column: nearest neighbours and their distance in Å.
Fractional coordinates of all 21 atoms:
Ce1 0.0000 0.0000 0.0000  6 Ge 2.97, 6 Mn 3.19
Ce2 0.3333 0.6667 0.5000  6 Ge 2.99, 6 Mn 3.19
Mn1 0.0457 0.7636 0.5000  4 Ge 2.46-2.50, 4 Mn 2.66-2.72
Mn2 0.1036 0.3823 0.0000  4 Ge 2.42-2.53
Mn3 0.2364 0.2821 0.5000  4 Ge 2.46-2.50, 4 Mn 2.66-2.72
Mn4 0.2787 0.8964 0.0000  4 Ge 2.42-2.53
Mn5 0.3883 0.2151 0.0000  4 Ge 2.42-2.46, 2 Mn 2.66
Mn6 0.5373 0.1100 0.5000  5 Ge 2.58-2.66, 4 Mn 2.87-2.88
Mn7 0.5727 0.4627 0.5000  5 Ge 2.58-2.66, 4 Mn 2.87-2.88
Mn8 0.6177 0.7213 0.0000  4 Ge 2.42-2.53
Mn9 0.7179 0.9543 0.5000  4 Ge 2.46-2.50, 4 Mn 2.66-2.72
Mn10 0.7849 0.1732 0.0000  4 Ge 2.42-2.46, 2 Mn 2.66
Mn11 0.8268 0.6117 0.0000  4 Ge 2.42-2.46, 2 Mn 2.66
Mn12 0.8900 0.4273 0.5000  5 Ge 2.58-2.66, 4 Mn 2.87-2.88
Ge1 0.0737 0.6137 0.0000  7 Mn 2.46-2.60
Ge2 0.2516 0.0404 0.5000  7 Mn 2.42-2.58
Ge3 0.3863 0.4600 0.0000  7 Mn 2.46-2.60
Ge4 0.5400 0.9263 0.0000  7 Mn 2.46-2.60
Ge5 0.6667 0.3333 0.0000  9 Mn 2.42-2.66
Ge6 0.7888 0.7484 0.5000  7 Mn 2.42-2.58
Ge7 0.9596 0.2112 0.5000  7 Mn 2.42-2.58

Computed properties:
Magnetization = 26.594 μB per cell
Fermi-level density of states = 19.046 states/eV/cell
Formation energy = -0.205 eV/atom

Here is crystalline Ce4MnGe at its relaxed geometry from Alexandria via LeMat-Bulk. Energies are from GGA-PBE.

Lattice parameters (Å, degrees): 7.5810 7.5810 5.6848 101.49 101.49 113.83
Last column: nearest neighbours and their distance in Å.
Fractional coordinates of all 12 atoms:
Ce1 0.0635 0.6987 0.9312  2 Mn 2.87, 2 Ge 3.06-3.08, 1 Ce 3.08
Ce2 0.2100 0.3877 0.6602  2 Mn 2.92-2.94, 2 Ge 3.04-3.17, 2 Ce 3.11-3.24
Ce3 0.3013 0.9365 0.5688  2 Mn 2.87, 2 Ge 3.06-3.08, 1 Ce 3.08
Ce4 0.3877 0.2100 0.1602  2 Mn 2.92-2.94, 2 Ge 3.04-3.17, 2 Ce 3.11-3.24
Ce5 0.6123 0.7900 0.8398  2 Mn 2.92-2.94, 2 Ge 3.04-3.17, 2 Ce 3.11-3.24
Ce6 0.6987 0.0635 0.4312  2 Mn 2.87, 2 Ge 3.06-3.08, 1 Ce 3.08
Ce7 0.7900 0.6123 0.3398  2 Mn 2.92-2.94, 2 Ge 3.04-3.17, 2 Ce 3.11-3.24
Ce8 0.9365 0.3013 0.0688  2 Mn 2.87, 2 Ge 3.06-3.08, 1 Ce 3.08
Mn1 0.0014 0.9986 0.2500  2 Mn 2.84, 8 Ce 2.87-2.94
Mn2 0.9986 0.0014 0.7500  2 Mn 2.84, 8 Ce 2.87-2.94
Ge1 0.3835 0.6165 0.2500  10 Ce 3.04-3.34
Ge2 0.6165 0.3835 0.7500  10 Ce 3.04-3.34

Computed properties:
Magnetization = 1.837 μB per cell
Fermi-level density of states = 23.904 states/eV/cell
Formation energy = -0.235 eV/atom

Here is crystalline Ce3Mn2Ge4 at its relaxed geometry from Alexandria via LeMat-Bulk. Energies are from GGA-PBE.

Lattice parameters (Å, degrees): 5.9390 5.9390 8.2064 106.08 106.08 41.76
Last column: nearest neighbours and their distance in Å.
Fractional coordinates of all 9 atoms:
Ce1 0.0000 0.0000 0.0000  6 Ge 3.07-3.08
Ce2 0.3780 0.3780 0.3078  3 Mn 2.91-3.09, 7 Ge 3.04-3.18
Ce3 0.6220 0.6220 0.6922  3 Mn 2.91-3.09, 7 Ge 3.04-3.18
Mn1 0.3009 0.3009 0.6167  4 Ge 2.45-2.52
Mn2 0.6991 0.6991 0.3833  4 Ge 2.45-2.52
Ge1 0.0898 0.0898 0.3925  3 Mn 2.45-2.51
Ge2 0.2898 0.2898 0.9195  1 Mn 2.52, 2 Ge 2.77
Ge3 0.7102 0.7102 0.0805  1 Mn 2.52, 2 Ge 2.77
Ge4 0.9102 0.9102 0.6075  3 Mn 2.45-2.51

Computed properties:
Magnetization = 3.268 μB per cell
Fermi-level density of states = 14.463 states/eV/cell
Formation energy = -0.548 eV/atom

Here is crystalline Ce3Mn2Ge7 at its relaxed geometry from Alexandria via LeMat-Bulk. Energies are from GGA-PBE.

Lattice parameters (Å, degrees): 4.2849 4.2731 12.9383 90.00 99.51 90.00
Last column: nearest neighbours and their distance in Å.
Fractional coordinates of all 12 atoms:
Ce1 0.0000 0.0000 0.0000  12 Ge 3.03-3.10, 2 Mn 3.24
Ce2 0.3164 0.5000 0.6332  10 Ge 3.16-3.27, 4 Mn 3.35
Ce3 0.6836 0.5000 0.3668  10 Ge 3.16-3.27, 4 Mn 3.35
Mn1 0.1265 0.0000 0.2539  5 Ge 2.36
Mn2 0.8735 0.0000 0.7461  5 Ge 2.36
Ge1 0.0874 0.5000 0.1751  2 Mn 2.36
Ge2 0.2195 0.0000 0.4388  1 Mn 2.36
Ge3 0.4125 0.0000 0.8243  2 Mn 2.36
Ge4 0.5000 0.5000 0.0000  4 Ce 3.03, 8 Ge 3.10
Ge5 0.5875 0.0000 0.1757  2 Mn 2.36
Ge6 0.7805 0.0000 0.5612  1 Mn 2.36
Ge7 0.9126 0.5000 0.8249  2 Mn 2.36

Computed properties:
Magnetization = 3.163 μB per cell
Fermi-level density of states = 15.149 states/eV/cell
Formation energy = -0.518 eV/atom

Here is crystalline CeMn2Ge3 at its relaxed geometry from Alexandria via LeMat-Bulk. Energies are from GGA-PBE.

Lattice parameters (Å, degrees): 6.2235 6.2235 5.3816 90.00 90.00 76.80
Last column: nearest neighbours and their distance in Å.
Fractional coordinates of all 12 atoms:
Ce1 0.1565 0.8435 0.7500  9 Ge 2.99-3.33
Ce2 0.8435 0.1565 0.2500  9 Ge 2.99-3.33
Mn1 0.2932 0.2932 0.0000  6 Ge 2.40-2.62
Mn2 0.2932 0.2932 0.5000  6 Ge 2.40-2.62
Mn3 0.7068 0.7068 0.0000  6 Ge 2.40-2.62
Mn4 0.7068 0.7068 0.5000  6 Ge 2.40-2.62
Ge1 0.0342 0.6104 0.2500  4 Mn 2.40-2.62, 1 Ge 2.57
Ge2 0.3896 0.9658 0.2500  4 Mn 2.40-2.62, 1 Ge 2.57
Ge3 0.4567 0.5433 0.2500  4 Mn 2.45, 2 Ge 2.57
Ge4 0.5433 0.4567 0.7500  4 Mn 2.45, 2 Ge 2.57
Ge5 0.6104 0.0342 0.7500  4 Mn 2.40-2.62, 1 Ge 2.57
Ge6 0.9658 0.3896 0.7500  4 Mn 2.40-2.62, 1 Ge 2.57

Computed properties:
Magnetization = 4.681 μB per cell
Fermi-level density of states = 12.397 states/eV/cell
Formation energy = -0.290 eV/atom

Here is crystalline Ce12MnGe6 at its relaxed geometry from Alexandria via LeMat-Bulk. Energies are from GGA-PBE.

Lattice parameters (Å, degrees): 7.8114 7.8114 7.8114 95.32 95.32 95.32
Last column: nearest neighbours and their distance in Å.
Fractional coordinates of all 19 atoms:
Ce1 0.0295 0.6596 0.9250  2 Ce 2.87-3.07, 4 Ge 2.93-3.08
Ce2 0.0750 0.9705 0.3404  2 Ce 2.87-3.07, 4 Ge 2.93-3.08
Ce3 0.1672 0.5091 0.4166  1 Mn 2.63
Ce4 0.3404 0.0750 0.9705  2 Ce 2.87-3.07, 4 Ge 2.93-3.08
Ce5 0.4166 0.1672 0.5091  1 Mn 2.63
Ce6 0.4909 0.5834 0.8328  1 Mn 2.63
Ce7 0.5091 0.4166 0.1672  1 Mn 2.63
Ce8 0.5834 0.8328 0.4909  1 Mn 2.63
Ce9 0.6596 0.9250 0.0295  2 Ce 2.87-3.07, 4 Ge 2.93-3.08
Ce10 0.8328 0.4909 0.5834  1 Mn 2.63
Ce11 0.9250 0.0295 0.6596  2 Ce 2.87-3.07, 4 Ge 2.93-3.08
Ce12 0.9705 0.3404 0.0750  2 Ce 2.87-3.07, 4 Ge 2.93-3.08
Mn1 0.5000 0.5000 0.5000  6 Ce 2.63
Ge1 0.1719 0.3359 0.7597  8 Ce 2.93-3.26
Ge2 0.2403 0.8281 0.6641  8 Ce 2.93-3.26
Ge3 0.3359 0.7597 0.1719  8 Ce 2.93-3.26
Ge4 0.6641 0.2403 0.8281  8 Ce 2.93-3.26
Ge5 0.7597 0.1719 0.3359  8 Ce 2.93-3.26
Ge6 0.8281 0.6641 0.2403  8 Ce 2.93-3.26

Computed properties:
Magnetization = 6.897 μB per cell
Fermi-level density of states = 46.865 states/eV/cell
Formation energy = -0.392 eV/atom

Here is crystalline Ce3Mn2Ge6 at its relaxed geometry from Alexandria via LeMat-Bulk. Energies are from GGA-PBE.

Lattice parameters (Å, degrees): 12.9647 12.9647 12.9647 160.44 160.44 27.79
Last column: nearest neighbours and their distance in Å.
Fractional coordinates of all 11 atoms:
Ce1 0.0000 0.0000 0.0000  8 Ge 3.05
Ce2 0.1779 0.1779 0.0000  9 Ge 2.90-3.23
Ce3 0.8221 0.8221 0.0000  9 Ge 2.90-3.23
Mn1 0.3842 0.3842 0.0000  5 Ge 2.29-2.34
Mn2 0.6158 0.6158 0.0000  5 Ge 2.29-2.34
Ge1 0.0840 0.5840 0.5000  2 Mn 2.34
Ge2 0.2931 0.2931 0.0000  1 Mn 2.29
Ge3 0.4160 0.9160 0.5000  2 Mn 2.34
Ge4 0.5840 0.0840 0.5000  2 Mn 2.34
Ge5 0.7069 0.7069 0.0000  1 Mn 2.29
Ge6 0.9160 0.4160 0.5000  2 Mn 2.34

Computed properties:
Magnetization = 5.678 μB per cell
Fermi-level density of states = 16.261 states/eV/cell
Formation energy = -0.377 eV/atom

Here is crystalline Ce2MnGe at its relaxed geometry from Alexandria via LeMat-Bulk. Energies are from GGA-PBE.

Lattice parameters (Å, degrees): 4.3704 4.3704 4.3764 90.00 90.00 90.00
Last column: nearest neighbours and their distance in Å.
Fractional coordinates of all 4 atoms:
Ce1 0.0000 0.5000 0.0000  4 Ce 3.09, 4 Ge 3.09, 4 Mn 3.09
Ce2 0.5000 0.0000 0.0000  4 Ce 3.09, 4 Ge 3.09, 4 Mn 3.09
Mn1 0.0000 0.0000 0.5000  4 Ge 3.09, 8 Ce 3.09
Ge1 0.5000 0.5000 0.5000  4 Mn 3.09, 8 Ce 3.09

Computed properties:
Magnetization = 1.537 μB per cell
Fermi-level density of states = 6.400 states/eV/cell
Formation energy = -0.259 eV/atom